# 1
# PmPbCl2

An optimized crystal structure of PmPbCl2 (PBE-GGA, the Alexandria database).

Cell and atoms, written as POSCAR:
```
PmPbCl2
1.0
3.6218 0.0000 0.0000
-1.8109 3.1366 0.0000
0.0000 0.0000 31.0615
Pm Pb Cl
3 3 6
direct
0.0000 0.0000 0.0000 Pm
0.3333 0.6667 0.6667 Pm
0.6667 0.3333 0.3333 Pm
0.0000 0.0000 0.5000 Pb
0.3333 0.6667 0.1667 Pb
0.6667 0.3333 0.8333 Pb
0.0000 0.0000 0.3949 Cl
0.0000 0.0000 0.6051 Cl
0.3333 0.6667 0.0616 Cl
0.3333 0.6667 0.2717 Cl
0.6667 0.3333 0.7283 Cl
0.6667 0.3333 0.9384 Cl
```

Values from the calculation:
Magnetization ... 0.00 μB per formula unit
Formation energy from raw total energies ... -1.29 eV per atom
Fermi-level density of states ... 5.8 states/eV per cell
Space group ... R-3m, No. 166


# 2
# PmPb2Cl8

An optimized crystal structure of PmPb2Cl8 (PBE-GGA, the Alexandria database).

Cell and atoms, written as POSCAR:
```
PmPb2Cl8
1.0
6.3254 -4.5497 0.0000
6.3254 4.5497 0.0000
-2.3990 0.0000 6.6473
Pm Pb Cl
1 2 8
direct
0.0000 0.0000 0.0000 Pm
0.3429 0.3429 0.7837 Pb
0.6571 0.6571 0.2163 Pb
0.0378 0.6547 0.7561 Cl
0.1154 0.1154 0.7378 Cl
0.3453 0.9622 0.2439 Cl
0.4255 0.4255 0.1835 Cl
0.5745 0.5745 0.8165 Cl
0.6547 0.0378 0.7561 Cl
0.8846 0.8846 0.2622 Cl
0.9622 0.3453 0.2439 Cl
```

Values from the calculation:
Magnetization ... 0.00 μB per formula unit
Formation energy from raw total energies ... -1.36 eV per atom
Fermi-level density of states ... 8.7 states/eV per cell
Space group ... C2/m, No. 12


# 3
# Pm2PbCl2

An optimized crystal structure of Pm2PbCl2 (PBE-GGA, the Alexandria database).

Cell and atoms, written as POSCAR:
```
Pm2PbCl2
1.0
4.3530 0.0000 0.0000
-2.1765 3.7698 0.0000
0.0000 0.0000 30.3331
Pm Pb Cl
6 3 6
direct
0.0000 0.0000 0.1050 Pm
0.0000 0.0000 0.8950 Pm
0.3333 0.6667 0.5617 Pm
0.3333 0.6667 0.7717 Pm
0.6667 0.3333 0.2283 Pm
0.6667 0.3333 0.4383 Pm
0.0000 0.0000 0.5000 Pb
0.3333 0.6667 0.1667 Pb
0.6667 0.3333 0.8333 Pb
0.0000 0.0000 0.2773 Cl
0.0000 0.0000 0.7227 Cl
0.3333 0.6667 0.3894 Cl
0.3333 0.6667 0.9439 Cl
0.6667 0.3333 0.0561 Cl
0.6667 0.3333 0.6106 Cl
```

Values from the calculation:
Magnetization ... 0.00 μB per formula unit
Formation energy from raw total energies ... -1.43 eV per atom
Fermi-level density of states ... 4.0 states/eV per cell
Space group ... R-3m, No. 166


# 4
# PmPbCl

An optimized crystal structure of PmPbCl (PBE-GGA, the Alexandria database).

Cell and atoms, written as POSCAR:
```
PmPbCl
1.0
8.6972 0.0000 0.0000
0.0000 6.2920 0.0000
0.0000 0.0000 6.2932
Pm Pb Cl
4 4 4
direct
0.2154 0.0001 0.2500 Pm
0.2154 0.4999 0.7500 Pm
0.7846 0.9999 0.7500 Pm
0.7846 0.5001 0.2500 Pm
0.4205 0.0011 0.7500 Pb
0.4205 0.4989 0.2500 Pb
0.5795 0.5011 0.7500 Pb
0.5795 0.9989 0.2500 Pb
0.9999 0.2500 0.0000 Cl
0.9999 0.2500 0.5000 Cl
0.0001 0.7500 0.0000 Cl
0.0001 0.7500 0.5000 Cl
```

Values from the calculation:
Magnetization ... 0.00 μB per formula unit
Formation energy from raw total energies ... -1.06 eV per atom
Fermi-level density of states ... 7.8 states/eV per cell
Space group ... Pbcm, No. 57
Relative energy among the computed polymorphs ... 0.0 meV per atom


# 5
# RbPmPb2Cl8

An optimized crystal structure of RbPmPb2Cl8 (PBE-GGA, the Alexandria database).

Cell and atoms, written as POSCAR:
```
RbPmPb2Cl8
1.0
6.6559 0.0000 0.0000
0.0000 9.0782 0.0000
-0.1111 0.0000 6.9252
Rb Pm Pb Cl
1 1 2 8
direct
0.0000 0.0000 0.0000 Rb
0.0000 0.5000 0.0000 Pm
0.5000 0.2482 0.5000 Pb
0.5000 0.7518 0.5000 Pb
0.2345 0.2856 0.1632 Cl
0.2345 0.7144 0.1632 Cl
0.2507 0.5000 0.6842 Cl
0.2789 0.0000 0.6278 Cl
0.7211 0.0000 0.3722 Cl
0.7493 0.5000 0.3158 Cl
0.7655 0.2856 0.8368 Cl
0.7655 0.7144 0.8368 Cl
```

Values from the calculation:
Magnetization ... 0.00 μB per formula unit
Formation energy from raw total energies ... -1.66 eV per atom
Fermi-level density of states ... 0.0 states/eV per cell
Space group ... P2/m, No. 10


# 6
# Pm3RhPbCl

An optimized crystal structure of Pm3RhPbCl (PBE-GGA, the Alexandria database).

Cell and atoms, written as POSCAR:
```
Pm3RhPbCl
1.0
7.6103 0.0000 0.0000
0.0000 4.6119 0.0000
-3.2853 0.0000 9.2808
Pm Rh Pb Cl
6 2 2 2
direct
0.0333 0.2500 0.3584 Pm
0.2153 0.2500 0.9769 Pm
0.4257 0.7500 0.6090 Pm
0.5743 0.2500 0.3910 Pm
0.7847 0.7500 0.0231 Pm
0.9667 0.7500 0.6416 Pm
0.2238 0.2500 0.6469 Rh
0.7762 0.7500 0.3531 Rh
0.2408 0.7500 0.2277 Pb
0.7592 0.2500 0.7723 Pb
0.3690 0.7500 0.8892 Cl
0.6310 0.2500 0.1108 Cl
```

Values from the calculation:
Magnetization ... 0.00 μB per formula unit
Formation energy from raw total energies ... -0.83 eV per atom
Fermi-level density of states ... 7.6 states/eV per cell
Space group ... P2_1/m, No. 11


# 7
# RbPrPbCl6

An optimized crystal structure of RbPrPbCl6 (PBE-GGA, the Alexandria database).

Cell and atoms, written as POSCAR:
```
RbPrPbCl6
1.0
-5.0415 5.2566 7.4233
5.0415 -5.2566 7.4233
5.0415 5.2566 -7.4233
Rb Pr Pb Cl
2 2 2 12
direct
0.3063 0.0563 0.2500 Rb
0.6937 0.9437 0.7500 Rb
0.0000 0.5000 0.5000 Pr
0.5000 0.5000 0.0000 Pr
0.0000 0.0000 0.5000 Pb
0.0000 0.5000 0.0000 Pb
0.0766 0.4185 0.2531 Cl
0.0766 0.8235 0.6581 Cl
0.0914 0.8414 0.2500 Cl
0.3123 0.5623 0.7500 Cl
0.3346 0.1765 0.7531 Cl
0.3346 0.5815 0.1581 Cl
0.6654 0.4185 0.8419 Cl
0.6654 0.8235 0.2469 Cl
0.6877 0.4377 0.2500 Cl
0.9086 0.1586 0.7500 Cl
0.9234 0.1765 0.3419 Cl
0.9234 0.5815 0.7469 Cl
```

Values from the calculation:
Magnetization ... 0.00 μB per formula unit
Formation energy from raw total energies ... -1.78 eV per atom
Fermi-level density of states ... 0.0 states/eV per cell
Space group ... Imma, No. 74


# 8
# Pr3RhPbCl

An optimized crystal structure of Pr3RhPbCl (PBE-GGA, the Alexandria database).

Cell and atoms, written as POSCAR:
```
Pr3RhPbCl
1.0
7.7744 0.0000 0.0000
0.0000 4.6648 0.0000
-3.3233 0.0000 9.4011
Pr Rh Pb Cl
6 2 2 2
direct
0.0325 0.2500 0.3570 Pr
0.2155 0.2500 0.9759 Pr
0.4251 0.7500 0.6106 Pr
0.5749 0.2500 0.3894 Pr
0.7845 0.7500 0.0241 Pr
0.9675 0.7500 0.6430 Pr
0.2214 0.2500 0.6452 Rh
0.7786 0.7500 0.3548 Rh
0.2399 0.7500 0.2274 Pb
0.7601 0.2500 0.7726 Pb
0.3719 0.7500 0.8906 Cl
0.6281 0.2500 0.1094 Cl
```

Values from the calculation:
Magnetization ... 0.00 μB per formula unit
Formation energy from raw total energies ... -0.82 eV per atom
Fermi-level density of states ... 7.9 states/eV per cell
Space group ... P2_1/m, No. 11


# 9
# Pr3RuPbCl

An optimized crystal structure of Pr3RuPbCl (PBE-GGA, the Alexandria database).

Cell and atoms, written as POSCAR:
```
Pr3RuPbCl
1.0
7.4276 0.0000 0.0000
0.0000 4.9529 0.0000
-1.7998 0.0000 9.4999
Pr Ru Pb Cl
6 2 2 2
direct
0.0625 0.2500 0.3730 Pr
0.2152 0.2500 0.9471 Pr
0.4126 0.7500 0.6190 Pr
0.5874 0.2500 0.3810 Pr
0.7848 0.7500 0.0529 Pr
0.9375 0.7500 0.6270 Pr
0.1691 0.2500 0.6553 Ru
0.8309 0.7500 0.3447 Ru
0.2242 0.7500 0.2261 Pb
0.7758 0.2500 0.7739 Pb
0.3978 0.7500 0.9104 Cl
0.6022 0.2500 0.0896 Cl
```

Values from the calculation:
Magnetization ... 0.00 μB per formula unit
Formation energy from raw total energies ... -0.62 eV per atom
Fermi-level density of states ... 7.1 states/eV per cell
Space group ... P2_1/m, No. 11


# 10
# Pr3SbPbCl

An optimized crystal structure of Pr3SbPbCl (PBE-GGA, the Alexandria database).

Cell and atoms, written as POSCAR:
```
Pr3SbPbCl
1.0
8.9906 0.0000 0.0000
0.0000 4.5923 0.0000
-2.2720 0.0000 9.6810
Pr Sb Pb Cl
6 2 2 2
direct
0.0853 0.2500 0.3399 Pr
0.2537 0.2500 0.0006 Pr
0.4014 0.7500 0.6325 Pr
0.5986 0.2500 0.3675 Pr
0.7463 0.7500 0.9994 Pr
0.9147 0.7500 0.6601 Pr
0.1600 0.2500 0.6642 Sb
0.8400 0.7500 0.3358 Sb
0.3200 0.7500 0.2765 Pb
0.6800 0.2500 0.7235 Pb
0.4049 0.7500 0.9190 Cl
0.5951 0.2500 0.0810 Cl
```

Values from the calculation:
Magnetization ... 0.73 μB per formula unit
Formation energy from raw total energies ... -0.98 eV per atom
Fermi-level density of states ... 8.3 states/eV per cell
Space group ... P2_1/m, No. 11


# 11
# Pr3PbSeCl

An optimized crystal structure of Pr3PbSeCl (PBE-GGA, the Alexandria database).

Cell and atoms, written as POSCAR:
```
Pr3PbSeCl
1.0
8.8024 0.0000 0.0000
0.0000 4.2638 0.0000
-3.0706 0.0000 9.9275
Pr Pb Se Cl
6 2 2 2
direct
0.1636 0.2500 0.1651 Pr
0.3260 0.7500 0.5130 Pr
0.3272 0.7500 0.8996 Pr
0.6728 0.2500 0.1004 Pr
0.6740 0.2500 0.4870 Pr
0.8364 0.7500 0.8349 Pr
0.4687 0.7500 0.2450 Pb
0.5313 0.2500 0.7550 Pb
0.0865 0.2500 0.8653 Se
0.9135 0.7500 0.1347 Se
0.1030 0.2500 0.4260 Cl
0.8970 0.7500 0.5740 Cl
```

Values from the calculation:
Magnetization ... 0.56 μB per formula unit
Formation energy from raw total energies ... -1.28 eV per atom
Fermi-level density of states ... 8.7 states/eV per cell
Space group ... P2_1/m, No. 11


# 12
# PrTlPbCl6

An optimized crystal structure of PrTlPbCl6 (PBE-GGA, the Alexandria database).

Cell and atoms, written as POSCAR:
```
PrTlPbCl6
1.0
6.9485 0.0000 0.0000
0.0000 6.9485 0.0000
0.0000 0.0000 13.4146
Pr Tl Pb Cl
2 2 2 12
direct
0.0000 0.0000 0.0000 Pr
0.5000 0.5000 0.5000 Pr
0.0000 0.0000 0.6670 Tl
0.5000 0.5000 0.1670 Tl
0.0000 0.0000 0.3348 Pb
0.5000 0.5000 0.8348 Pb
0.1784 0.1784 0.1619 Cl
0.2028 0.2028 0.8553 Cl
0.2175 0.2175 0.4865 Cl
0.2825 0.7175 0.9865 Cl
0.2972 0.7028 0.3553 Cl
0.3216 0.6784 0.6619 Cl
0.6784 0.3216 0.6619 Cl
0.7028 0.2972 0.3553 Cl
0.7175 0.2825 0.9865 Cl
0.7825 0.7825 0.4865 Cl
0.7972 0.7972 0.8553 Cl
0.8216 0.8216 0.1619 Cl
```

Values from the calculation:
Magnetization ... 0.00 μB per formula unit
Formation energy from raw total energies ... -1.62 eV per atom
Fermi-level density of states ... 0.0 states/eV per cell
Space group ... P4_2nm, No. 102